1.
{
  "formula": "BeV2P",
  "functional": "GGA-PBE",
  "state": "optimized geometry",
  "lattice_angstrom": [[3.555, 0.000, 0.000], [0.000, 3.555, 0.000], [0.000, 0.000, 3.618]],
  "species": ["Be", "V", "V", "P"],
  "fractional_positions": [[0.000, 0.000, 0.000], [0.000, 0.500, 0.500], [0.500, 0.000, 0.500], [0.500, 0.500, 0.000]],
  "formation_enthalpy_0k_kcal_per_mol_atoms": -6.7,
  "density_g_cm3": 5.2,
  "magmom_total_mub_per_atom": 0.000,
  "volume_a3_per_fu": 45.72,
  "space_group": "P4/mmm"
}

2.
{
  "formula": "Li2LaMg",
  "functional": "GGA-PBE",
  "state": "optimized geometry",
  "lattice_angstrom": [[1.854, -2.690, 0.000], [1.854, 2.690, 0.000], [0.000, 0.000, 10.391]],
  "species": ["Li", "Li", "La", "Mg"],
  "fractional_positions": [[0.000, 0.000, 0.000], [0.500, 0.500, 0.219], [0.000, 0.000, 0.498], [0.500, 0.500, 0.776]],
  "formation_enthalpy_0k_kcal_per_mol_atoms": 1.4,
  "density_g_cm3": 2.8,
  "magmom_total_mub_per_atom": 0.000,
  "volume_a3_per_fu": 103.62,
  "space_group": "Cmm2"
}

3.
{
  "formula": "LuGeIr2",
  "functional": "GGA-PBE",
  "state": "optimized geometry",
  "lattice_angstrom": [[2.164, 1.250, 4.420], [-2.164, 1.250, 4.420], [0.000, -2.499, 4.420]],
  "species": ["Lu", "Ge", "Ir", "Ir"],
  "fractional_positions": [[0.000, 0.000, 0.000], [0.500, 0.500, 0.500], [0.217, 0.217, 0.217], [0.783, 0.783, 0.783]],
  "formation_enthalpy_0k_kcal_per_mol_atoms": -11.7,
  "density_g_cm3": 14.6,
  "magmom_total_mub_per_atom": 0.000,
  "volume_a3_per_fu": 71.71,
  "space_group": "R-3m"
}

| no. | Fermi-level density of states (states/eV/f.u.) |
| --- | --- |
| 1 | 3.21 |
| 2 | 3.19 |
| 3 | 2.20 |